Here is an optimized crystal structure of CuAgSb2 from Alexandria. Energies are from GGA-PBE.

The structure belongs to space group I-42d (No. 122); the cell edges are 8.5905, 8.5905 and 5.1025 Å and the angles 90.00°, 90.00° and 90.00°. The distinct sites, in fractional coordinates, are Cu at (0.0000, 0.0000, 0.0000), Ag at (0.0000, 0.0000, 0.5000) and Sb at (0.1498, 0.2500, 0.1250).

The value obtained for the energy above the most stable polymorph in this dataset is 0.061 eV per atom. The total magnetization comes out at 0.00 μB/cell. The calculation puts the formation energy from raw total energies at 17.9 kJ per mole of atoms.